The following is a DFT calculation (PBE) of a geometry-optimized Cs2NpPaS4 structure.

POSCAR file:
```
Cs2NpPaS4
1.0
-1.0230 -2.7093 2.9054
6.1807 1.1941 3.2896
-5.5102 5.5546 3.2395
Cs Np Pa S
2 1 1 4
Cartesian
-3.2666 1.4226 3.0725 Cs
0.3353 3.3743 3.2645 Cs
0.0000 0.0000 0.0000 Np
2.5789 -0.7576 3.0975 Pa
-0.0762 -0.0648 2.8087 S
-0.2762 4.1042 6.6258 S
-2.7889 4.8642 3.5538 S
3.4594 1.8845 2.9752 S
```

=====

The following is a DFT calculation (PBE) of a geometry-optimized Cs3Np2PaSe6 structure.

POSCAR file:
```
Cs3Np2PaSe6
1.0
7.4184 -0.0009 0.0004
-3.7082 6.4251 0.0004
-1.2368 -2.1416 8.4429
Cs Np Pa Se
3 2 1 6
Cartesian
-2.4608 4.2768 4.2219 Cs
4.9342 0.0059 4.2219 Cs
1.2367 2.1413 4.2219 Cs
0.0016 4.2826 0.0004 Np
3.7086 2.1416 0.0004 Np
0.0000 0.0000 0.0000 Pa
3.6880 2.1785 6.8600 Se
2.4953 4.3206 1.5876 Se
-1.2146 2.1041 1.5837 Se
0.0439 4.2831 6.8600 Se
-0.0219 -0.0379 6.8562 Se
2.4295 -0.0005 1.5837 Se
```

=====

The following is a DFT calculation (PBE) of a geometry-optimized CsNpPaSe4 structure.

POSCAR file:
```
CsNpPaSe4
1.0
8.8823 0.0000 0.0000
-4.4412 7.8429 -0.5679
0.0000 -4.7385 7.7926
Cs Np Pa Se
2 2 2 8
Cartesian
4.4412 5.2599 0.5299 Cs
0.0000 -2.1555 6.6947 Cs
4.4412 -2.3692 3.8963 Np
4.4412 0.0000 0.0000 Np
2.2206 1.5522 3.6123 Pa
-2.2206 1.5522 3.6123 Pa
4.4412 0.3811 5.0374 Se
2.5932 -0.8651 2.1424 Se
6.2891 -0.8651 2.1424 Se
4.4412 2.2786 1.9169 Se
0.0000 0.8258 5.3078 Se
1.8480 3.9695 5.0823 Se
-1.8480 3.9695 5.0823 Se
0.0000 2.7233 2.1873 Se
```

=====

Number 1: electronic total energy -6.49 eV per atom, DOS(E_F) 1.520 states/eV/atom, raw formation energy -1086 kJ/mol of formula units. Number 2: electronic total energy -6.17 eV per atom, DOS(E_F) 2.094 states/eV/atom, raw formation energy -1461 kJ/mol of formula units. Number 3: electronic total energy -6.52 eV per atom, DOS(E_F) 1.781 states/eV/atom, raw formation energy -811 kJ/mol of formula units.